Entry from Alexandria: crystalline SnS3N at its relaxed geometry (PBEsol). Values from VASP.

Space-group type: Pm-3m (221)
ΔE_f (raw): 3.23 eV per formula unit
Total magnetic moment: 0.00 μB/f.u.
Volume: 15.2 Å³/atom

```
&SYSTEM
  ibrav = 0, nat = 5, ntyp = 3
/
ATOMIC_SPECIES
S 32.06 S.upf
Sn 118.71 Sn.upf
N 14.01 N.upf
ATOMIC_POSITIONS crystal
S 0.000 0.500 0.000
S 0.000 0.000 0.500
S 0.500 0.000 0.000
Sn 0.500 0.500 0.500
N 0.000 0.000 0.000
CELL_PARAMETERS angstrom
4.232 0.000 0.000
0.000 4.232 0.000
0.000 0.000 4.232
```

=====

Entry from Alexandria: crystalline MnFePd6 at its relaxed geometry (PBEsol). Values from VASP.

Energy of formation from the pure elements: -104.7 kJ/mol of formula units
Space-group type: P4/mmm (123)
Total magnetic moment: 8.77 μB/f.u.
Volume: 14.1 Å³/atom

```
&SYSTEM
  ibrav = 0, nat = 8, ntyp = 3
/
ATOMIC_SPECIES
Mn 54.94 Mn.upf
Fe 55.84 Fe.upf
Pd 106.42 Pd.upf
ATOMIC_POSITIONS crystal
Mn 0.000 0.000 0.500
Fe 0.000 0.000 0.000
Pd 0.500 0.500 0.000
Pd 0.500 0.500 0.500
Pd 0.500 0.000 0.246
Pd 0.500 0.000 0.754
Pd 0.000 0.500 0.246
Pd 0.000 0.500 0.754
CELL_PARAMETERS angstrom
3.833 0.000 0.000
0.000 3.833 0.000
0.000 0.000 7.663
```

=====

Entry from Alexandria: crystalline LaZrTl2 at its relaxed geometry (PBEsol). Values from VASP.

Energy of formation from the pure elements: -107.8 kJ/mol of formula units
Space-group type: Pmmm (47)
Total magnetic moment: 0.00 μB/f.u.
Volume: 25.3 Å³/atom

```
&SYSTEM
  ibrav = 0, nat = 4, ntyp = 3
/
ATOMIC_SPECIES
Tl 204.38 Tl.upf
Zr 91.22 Zr.upf
La 138.91 La.upf
ATOMIC_POSITIONS crystal
Tl 0.000 0.000 0.281
Tl 0.000 0.000 0.719
Zr 0.500 0.500 0.500
La 0.500 0.500 0.000
CELL_PARAMETERS angstrom
3.296 0.000 0.000
0.000 4.297 0.000
0.000 0.000 7.136
```